[1]
{
  "formula": "RbTbMgF6",
  "functional": "PBE",
  "state": "relaxed",
  "cell": [[-3.648, 3.863, 5.140], [3.648, -3.863, 5.140], [3.648, 3.863, -5.140]],
  "species": ["Rb", "Rb", "Tb", "Tb", "Mg", "Mg", "F", "F", "F", "F", "F", "F", "F", "F", "F", "F", "F", "F"],
  "frac_coords": [[0.340, 0.090, 0.250], [0.660, 0.910, 0.750], [0.000, 0.500, 0.500], [0.500, 0.500, 0.000], [0.000, 0.000, 0.500], [0.000, 0.500, 0.000], [0.056, 0.355, 0.179], [0.056, 0.877, 0.701], [0.071, 0.321, 0.750], [0.324, 0.123, 0.679], [0.324, 0.645, 0.201], [0.358, 0.608, 0.750], [0.642, 0.392, 0.250], [0.676, 0.355, 0.799], [0.676, 0.877, 0.321], [0.929, 0.679, 0.250], [0.944, 0.123, 0.299], [0.944, 0.645, 0.821]],
  "spacegroup": "Imma (74)",
  "crystal_system": "orthorhombic",
  "energy_ev_per_atom": -5.65
}

[2]
{
  "formula": "YAgSb2",
  "functional": "PBE",
  "state": "relaxed",
  "cell": [[4.813, 0.000, 0.000], [0.000, 4.813, 0.000], [0.000, 0.000, 4.232]],
  "species": ["Y", "Ag", "Sb", "Sb"],
  "frac_coords": [[0.000, 0.000, 0.000], [0.500, 0.500, 0.000], [0.000, 0.500, 0.500], [0.500, 0.000, 0.500]],
  "spacegroup": "P4/mmm (123)",
  "crystal_system": "tetragonal",
  "energy_ev_per_atom": -4.87
}